# LuTlSn (PBE, relaxed)
data_LuTlSn
_cell_length_a 3.304
_cell_length_b 3.304
_cell_length_c 8.576
_cell_angle_alpha 101.11
_cell_angle_beta 101.11
_cell_angle_gamma 90.00
_symmetry_space_group_name_H-M 'P 1'
_symmetry_Int_Tables_number 1
_symmetry_space_group_name_Hall 'P 1'
loop_
_atom_site_label
_atom_site_fract_x
_atom_site_fract_y
_atom_site_fract_z
_atom_site_occupancy
Tl1 0.131 0.131 0.261 1
Lu1 0.768 0.768 0.536 1
Sn1 0.951 0.951 0.902 1
# magnetization	0.334	μB per formula unit
# energy above the lowest structure with this stoichiometry	315.6	meV per atom
# energy of formation from the pure elements	124	meV per atom

=====

# ErPd6Pt6 (PBE, relaxed)
data_ErPd6Pt6
_cell_length_a 5.314
_cell_length_b 6.968
_cell_length_c 6.968
_cell_angle_alpha 80.91
_cell_angle_beta 67.59
_cell_angle_gamma 67.59
_symmetry_space_group_name_H-M 'P 1'
_symmetry_Int_Tables_number 1
_symmetry_space_group_name_Hall 'P 1'
loop_
_atom_site_label
_atom_site_fract_x
_atom_site_fract_y
_atom_site_fract_z
_atom_site_occupancy
Er1 0.000 0.000 0.000 1
Pd1 0.345 0.655 0.655 1
Pd2 0.655 0.345 0.345 1
Pd3 0.000 0.343 0.657 1
Pd4 0.000 0.657 0.343 1
Pd5 0.304 0.196 0.196 1
Pd6 0.696 0.804 0.804 1
Pt1 0.000 0.500 0.000 1
Pt2 0.500 0.500 0.000 1
Pt3 0.000 0.000 0.500 1
Pt4 0.500 0.000 0.500 1
Pt5 0.500 0.771 0.229 1
Pt6 0.500 0.229 0.771 1
# magnetization	0.000	μB per formula unit
# energy of formation from the pure elements	-290	meV per atom

=====

# MgNi2As (PBE, relaxed)
data_MgNi2As
_cell_length_a 3.929
_cell_length_b 3.931
_cell_length_c 3.436
_cell_angle_alpha 90.00
_cell_angle_beta 90.00
_cell_angle_gamma 90.00
_symmetry_space_group_name_H-M 'P 1'
_symmetry_Int_Tables_number 1
_symmetry_space_group_name_Hall 'P 1'
loop_
_atom_site_label
_atom_site_fract_x
_atom_site_fract_y
_atom_site_fract_z
_atom_site_occupancy
As1 0.500 0.000 0.500 1
Mg1 0.000 0.500 0.500 1
Ni1 0.000 0.000 0.000 1
Ni2 0.500 0.500 0.000 1
# magnetization	0.000	μB per formula unit
# energy of formation from the pure elements	-222	meV per atom

=====

# Sm4SiAsCl2 (PBE, relaxed)
data_Sm4SiAsCl2
_cell_length_a 4.185
_cell_length_b 7.224
_cell_length_c 7.285
_cell_angle_alpha 70.44
_cell_angle_beta 90.00
_cell_angle_gamma 90.00
_symmetry_space_group_name_H-M 'P 1'
_symmetry_Int_Tables_number 1
_symmetry_space_group_name_Hall 'P 1'
loop_
_atom_site_label
_atom_site_fract_x
_atom_site_fract_y
_atom_site_fract_z
_atom_site_occupancy
Sm1 0.000 0.723 0.751 1
Sm2 0.000 0.277 0.249 1
Sm3 0.500 0.723 0.266 1
Sm4 0.500 0.277 0.734 1
Si1 0.000 0.500 0.500 1
As1 0.500 0.500 0.000 1
Cl1 0.000 0.000 0.000 1
Cl2 0.500 0.000 0.500 1
# formation energy without anion corrections	-1.347	eV/atom
# magnetization	0.000	μB per formula unit

=====

# TiZnAu2 (PBE, relaxed)
data_TiZnAu2
_cell_length_a 7.314
_cell_length_b 7.314
_cell_length_c 5.865
_cell_angle_alpha 51.43
_cell_angle_beta 51.43
_cell_angle_gamma 90.00
_symmetry_space_group_name_H-M 'P 1'
_symmetry_Int_Tables_number 1
_symmetry_space_group_name_Hall 'P 1'
loop_
_atom_site_label
_atom_site_fract_x
_atom_site_fract_y
_atom_site_fract_z
_atom_site_occupancy
Zn1 0.000 0.000 0.000 1
Zn2 0.750 0.250 0.500 1
Au1 0.636 0.125 0.250 1
Au2 0.114 0.625 0.250 1
Au3 0.375 0.364 0.750 1
Au4 0.875 0.886 0.750 1
Ti1 0.500 0.500 0.000 1
Ti2 0.250 0.750 0.500 1
# magnetization	1.541	μB per formula unit
# energy of formation from the pure elements	26	meV per atom

=====

# CaDyLuCd (PBE, relaxed)
data_CaDyLuCd
_cell_length_a 5.493
_cell_length_b 5.493
_cell_length_c 5.493
_cell_angle_alpha 60.00
_cell_angle_beta 60.00
_cell_angle_gamma 60.00
_symmetry_space_group_name_H-M 'P 1'
_symmetry_Int_Tables_number 1
_symmetry_space_group_name_Hall 'P 1'
loop_
_atom_site_label
_atom_site_fract_x
_atom_site_fract_y
_atom_site_fract_z
_atom_site_occupancy
Ca1 0.750 0.750 0.750 1
Lu1 0.000 0.000 0.000 1
Dy1 0.250 0.250 0.250 1
Cd1 0.500 0.500 0.500 1
# magnetization	0.000	μB per formula unit
# energy of formation from the pure elements	6	meV per atom

=====

# BaLi2NdCl8 (PBE, relaxed)
data_BaLi2NdCl8
_cell_length_a 6.704
_cell_length_b 6.704
_cell_length_c 8.948
_cell_angle_alpha 90.00
_cell_angle_beta 90.00
_cell_angle_gamma 120.00
_symmetry_space_group_name_H-M 'P 1'
_symmetry_Int_Tables_number 1
_symmetry_space_group_name_Hall 'P 1'
loop_
_atom_site_label
_atom_site_fract_x
_atom_site_fract_y
_atom_site_fract_z
_atom_site_occupancy
Ba1 0.000 0.000 0.000 1
Li1 0.667 0.333 0.253 1
Li2 0.333 0.667 0.747 1
Nd1 0.000 0.000 0.500 1
Cl1 0.333 0.667 0.007 1
Cl2 0.309 0.307 0.299 1
Cl3 0.693 0.002 0.299 1
Cl4 0.667 0.333 0.993 1
Cl5 0.307 0.998 0.701 1
Cl6 0.691 0.693 0.701 1
Cl7 0.002 0.309 0.701 1
Cl8 0.998 0.691 0.299 1
# formation energy without anion corrections	-1.832	eV/atom
# magnetization	1.185	μB per formula unit

=====

# ZrInNi3 (PBE, relaxed)
data_ZrInNi3
_cell_length_a 4.649
_cell_length_b 4.649
_cell_length_c 4.649
_cell_angle_alpha 90.00
_cell_angle_beta 90.00
_cell_angle_gamma 90.00
_symmetry_space_group_name_H-M 'P 1'
_symmetry_Int_Tables_number 1
_symmetry_space_group_name_Hall 'P 1'
loop_
_atom_site_label
_atom_site_fract_x
_atom_site_fract_y
_atom_site_fract_z
_atom_site_occupancy
Ni1 0.000 0.500 0.000 1
Ni2 0.000 0.000 0.500 1
Ni3 0.500 0.000 0.000 1
Zr1 0.000 0.000 0.000 1
In1 0.500 0.500 0.500 1
# magnetization	0.000	μB per formula unit
# energy above the lowest structure with this stoichiometry	112.7	meV per atom
# energy of formation from the pure elements	948	meV per atom

=====

# CeNiH2 (PBE, relaxed)
data_CeNiH2
_cell_length_a 3.653
_cell_length_b 3.450
_cell_length_c 4.988
_cell_angle_alpha 134.04
_cell_angle_beta 90.00
_cell_angle_gamma 90.00
_symmetry_space_group_name_H-M 'P 1'
_symmetry_Int_Tables_number 1
_symmetry_space_group_name_Hall 'P 1'
loop_
_atom_site_label
_atom_site_fract_x
_atom_site_fract_y
_atom_site_fract_z
_atom_site_occupancy
Ce1 0.560 0.596 0.972 1
Ni1 0.061 0.596 0.472 1
H1 0.060 0.096 0.972 1
H2 0.561 0.596 0.473 1
# magnetization	0.973	μB per formula unit
# energy above the lowest structure with this stoichiometry	46.9	meV per atom

=====

# YHoBe2 (PBE, relaxed)
data_YHoBe2
_cell_length_a 4.820
_cell_length_b 4.820
_cell_length_c 4.820
_cell_angle_alpha 60.00
_cell_angle_beta 60.00
_cell_angle_gamma 60.00
_symmetry_space_group_name_H-M 'P 1'
_symmetry_Int_Tables_number 1
_symmetry_space_group_name_Hall 'P 1'
loop_
_atom_site_label
_atom_site_fract_x
_atom_site_fract_y
_atom_site_fract_z
_atom_site_occupancy
Y1 0.000 0.000 0.000 1
Be1 0.250 0.250 0.250 1
Be2 0.750 0.750 0.750 1
Ho1 0.500 0.500 0.500 1
# magnetization	0.000	μB per formula unit
# energy above the lowest structure with this stoichiometry	0.5	meV per atom
# energy of formation from the pure elements	89	meV per atom

=====

> magnetization of number 6 (CaDyLuCd)?

0.000 μB per formula unit

=====

What did the first record say?
# LuTlSn (PBE, relaxed)
data_LuTlSn
_cell_length_a 3.304
_cell_length_b 3.304
_cell_length_c 8.576
_cell_angle_alpha 101.11
_cell_angle_beta 101.11
_cell_angle_gamma 90.00
_symmetry_space_group_name_H-M 'P 1'
_symmetry_Int_Tables_number 1
_symmetry_space_group_name_Hall 'P 1'
loop_
_atom_site_label
_atom_site_fract_x
_atom_site_fract_y
_atom_site_fract_z
_atom_site_occupancy
Tl1 0.131 0.131 0.261 1
Lu1 0.768 0.768 0.536 1
Sn1 0.951 0.951 0.902 1
# magnetization	0.334	μB per formula unit
# energy above the lowest structure with this stoichiometry	315.6	meV per atom
# energy of formation from the pure elements	124	meV per atom